[1]
Here is a relaxed structure of TaAlGe from Alexandria via LeMat-Bulk. Energies are from PBE. Values from VASP.

Computed properties:
- space-group type = No. 5
- VASP energy (eV per atom) = -6.870
- total magnetization (μB/f.u.) = 0.0
- energy of formation (eV per atom) = -0.1330
- theoretical density (g/cm3) = 9.28

Cell and atoms, written as Quantum ESPRESSO input:
```
&SYSTEM
  ibrav = 0, nat = 12, ntyp = 3
/
ATOMIC_SPECIES
Ge 72.64 Ge.upf
Al 26.98 Al.upf
Ta 180.95 Ta.upf
CELL_PARAMETERS angstrom
-0.7282 -4.2996 2.9652
4.3536 -1.9875 -1.8128
4.4121 6.9537 2.9720
ATOMIC_POSITIONS crystal
Ge 0.5035 0.9272 0.1607
Ge 0.4965 0.9272 0.8393
Ge 0.5035 0.4272 0.6607
Ge 0.4965 0.4272 0.3393
Al 0.5000 0.9028 0.5000
Al 0.5000 0.4028 0.0000
Al 0.0000 0.5910 0.0000
Al 0.0000 0.0910 0.5000
Ta 0.9724 0.5930 0.3251
Ta 0.0276 0.5930 0.6749
Ta 0.9724 0.0930 0.8251
Ta 0.0276 0.0930 0.1749
```

[2]
Here is a relaxed structure of TaAlGe from Alexandria via LeMat-Bulk. Energies are from PBE. Values from VASP.

Computed properties:
- space-group type = No. 15
- VASP energy (eV per atom) = -6.955
- total magnetization (μB/f.u.) = 0.0
- energy of formation (eV per atom) = -0.2177
- theoretical density (g/cm3) = 9.41

Cell and atoms, written as Quantum ESPRESSO input:
```
&SYSTEM
  ibrav = 0, nat = 12, ntyp = 3
/
ATOMIC_SPECIES
Ge 72.64 Ge.upf
Al 26.98 Al.upf
Ta 180.95 Ta.upf
CELL_PARAMETERS angstrom
5.1742 0.0000 -0.0030
0.0000 8.6071 0.0000
-2.5056 0.0000 4.4470
ATOMIC_POSITIONS crystal
Ge 0.7500 0.1978 0.7500
Ge 0.2500 0.8022 0.2500
Ge 0.7500 0.6978 0.2500
Ge 0.2500 0.3022 0.7500
Al 0.7500 0.5284 0.7500
Al 0.2500 0.4716 0.2500
Al 0.7500 0.0284 0.2500
Al 0.2500 0.9716 0.7500
Ta 0.7500 0.8671 0.7500
Ta 0.2500 0.1329 0.2500
Ta 0.7500 0.3671 0.2500
Ta 0.2500 0.6329 0.7500
```

[3]
Here is a relaxed structure of TaAl2Ge2 from Alexandria via LeMat-Bulk. Energies are from PBE. Values from VASP.

Computed properties:
- space-group type = No. 127
- VASP energy (eV per atom) = -5.663
- total magnetization (μB/f.u.) = 0.0
- energy of formation (eV per atom) = 0.0514
- theoretical density (g/cm3) = 7.43

Cell and atoms, written as Quantum ESPRESSO input:
```
&SYSTEM
  ibrav = 0, nat = 10, ntyp = 3
/
ATOMIC_SPECIES
Ge 72.64 Ge.upf
Al 26.98 Al.upf
Ta 180.95 Ta.upf
CELL_PARAMETERS angstrom
-4.9182 4.6469 1.1393
0.6528 -0.9669 6.7616
2.4924 2.6056 0.1320
ATOMIC_POSITIONS crystal
Ge 0.3583 0.8583 0.0000
Ge 0.8583 0.6417 0.0000
Ge 0.6417 0.1417 0.0000
Ge 0.1417 0.3583 0.0000
Al 0.1614 0.6614 0.5000
Al 0.6614 0.8386 0.5000
Al 0.8386 0.3386 0.5000
Al 0.3386 0.1614 0.5000
Ta 0.0000 0.0000 0.0000
Ta 0.5000 0.5000 0.0000
```

[4]
Here is a relaxed structure of Ta4AlGe from Alexandria via LeMat-Bulk. Energies are from PBE. Values from VASP.

Computed properties:
- space-group type = No. 15
- VASP energy (eV per atom) = -9.202
- total magnetization (μB/f.u.) = 0.0
- energy of formation (eV per atom) = 0.0928
- offset from the most stable computed form (meV/atom) = 327
- theoretical density (g/cm3) = 12.80

Cell and atoms, written as Quantum ESPRESSO input:
```
&SYSTEM
  ibrav = 0, nat = 12, ntyp = 3
/
ATOMIC_SPECIES
Ta 180.95 Ta.upf
Al 26.98 Al.upf
Ge 72.64 Ge.upf
CELL_PARAMETERS angstrom
-4.6218 -0.1039 -4.1999
-0.5034 -2.0662 4.5887
-0.1619 8.0260 2.6321
ATOMIC_POSITIONS crystal
Ta 0.9631 0.2094 0.9256
Ta 0.4625 0.7162 0.9256
Ta 0.2889 0.5420 0.5740
Ta 0.7111 0.4580 0.4260
Ta 0.2149 0.9680 0.4260
Ta 0.5375 0.2838 0.0744
Ta 0.7851 0.0320 0.5740
Ta 0.0369 0.7906 0.0744
Al 0.3746 0.6246 0.2493
Al 0.6254 0.3754 0.7507
Ge 0.1249 0.8749 0.7498
Ge 0.8751 0.1251 0.2502
```

[5]
Here is a relaxed structure of TaAlGe from Alexandria via LeMat-Bulk. Energies are from PBE. Values from VASP.

Computed properties:
- space-group type = No. 156
- VASP energy (eV per atom) = -6.685
- total magnetization (μB/f.u.) = 0.0
- energy of formation (eV per atom) = 0.0527
- theoretical density (g/cm3) = 9.37

Cell and atoms, written as Quantum ESPRESSO input:
```
&SYSTEM
  ibrav = 0, nat = 3, ntyp = 3
/
ATOMIC_SPECIES
Ge 72.64 Ge.upf
Al 26.98 Al.upf
Ta 180.95 Ta.upf
CELL_PARAMETERS angstrom
2.7329 0.0000 0.0000
0.0000 4.5838 0.0000
0.0000 -2.2919 3.9697
ATOMIC_POSITIONS crystal
Ge 0.1706 0.6667 0.3333
Al 0.1652 0.0000 0.0000
Ta 0.6643 0.3333 0.6667
```

[6]
Here is a relaxed structure of TaAlGe from Alexandria via LeMat-Bulk. Energies are from PBE. Values from VASP.

Computed properties:
- space-group type = No. 12
- VASP energy (eV per atom) = -6.892
- total magnetization (μB/f.u.) = 0.0
- energy of formation (eV per atom) = -0.1546
- theoretical density (g/cm3) = 9.38

Cell and atoms, written as Quantum ESPRESSO input:
```
&SYSTEM
  ibrav = 0, nat = 12, ntyp = 3
/
ATOMIC_SPECIES
Ge 72.64 Ge.upf
Al 26.98 Al.upf
Ta 180.95 Ta.upf
CELL_PARAMETERS angstrom
6.1039 0.0000 -0.0042
0.0000 3.6606 0.0000
-3.0566 0.0000 8.8933
ATOMIC_POSITIONS crystal
Ge 0.8947 0.0000 0.3305
Ge 0.1053 0.0000 0.6695
Ge 0.8947 0.5000 0.8305
Ge 0.1053 0.5000 0.1695
Al 0.5715 0.0000 0.6655
Al 0.4285 0.0000 0.3345
Al 0.5715 0.5000 0.1655
Al 0.4285 0.5000 0.8345
Ta 0.7694 0.0000 0.0096
Ta 0.2306 0.0000 0.9904
Ta 0.7694 0.5000 0.5096
Ta 0.2306 0.5000 0.4904
```

[7]
Here is a relaxed structure of TaAlGe from Alexandria via LeMat-Bulk. Energies are from PBE. Values from VASP.

Computed properties:
- space-group type = No. 9
- VASP energy (eV per atom) = -7.023
- total magnetization (μB/f.u.) = 0.0
- energy of formation (eV per atom) = -0.2855
- theoretical density (g/cm3) = 9.49

Cell and atoms, written as Quantum ESPRESSO input:
```
&SYSTEM
  ibrav = 0, nat = 6, ntyp = 3
/
ATOMIC_SPECIES
Ge 72.64 Ge.upf
Al 26.98 Al.upf
Ta 180.95 Ta.upf
CELL_PARAMETERS angstrom
4.9800 0.0007 -0.0029
-1.2951 5.0062 0.0057
2.5864 -1.9228 3.9340
ATOMIC_POSITIONS crystal
Ge 0.2065 0.2555 0.1031
Ge 0.7059 0.7568 0.3535
Al 0.8647 0.2568 0.7744
Al 0.3641 0.7561 0.0242
Ta 0.0396 0.7563 0.6863
Ta 0.5408 0.2565 0.4357
```

[8]
Here is a relaxed structure of TaAlGeTe2 from Alexandria via LeMat-Bulk. Energies are from PBE. Values from VASP.

Computed properties:
- space-group type = No. 123
- VASP energy (eV per atom) = -4.190
- total magnetization (μB/f.u.) = 2.9
- theoretical density (g/cm3) = 6.52

Cell and atoms, written as Quantum ESPRESSO input:
```
&SYSTEM
  ibrav = 0, nat = 5, ntyp = 4
/
ATOMIC_SPECIES
Ge 72.64 Ge.upf
Te 127.60 Te.upf
Al 26.98 Al.upf
Ta 180.95 Ta.upf
CELL_PARAMETERS angstrom
-0.0483 -1.0254 5.3105
-0.4102 -4.5638 -0.8850
5.3877 -0.4759 -0.0429
ATOMIC_POSITIONS crystal
Ge 0.0000 0.0000 0.0000
Te 0.0000 0.0000 0.5000
Te 0.5000 0.0000 0.0000
Al 0.0000 0.5000 0.0000
Ta 0.5000 0.5000 0.5000
```

[9]
Here is a relaxed structure of TbAlGe2 from Alexandria via LeMat-Bulk. Energies are from PBE. Values from VASP.

Computed properties:
- space-group type = No. 123
- VASP energy (eV per atom) = -4.826
- total magnetization (μB/f.u.) = 0.0
- energy of formation (eV per atom) = -0.4237
- theoretical density (g/cm3) = 6.89

Cell and atoms, written as Quantum ESPRESSO input:
```
&SYSTEM
  ibrav = 0, nat = 4, ntyp = 3
/
ATOMIC_SPECIES
Ge 72.64 Ge.upf
Tb 158.93 Tb.upf
Al 26.98 Al.upf
CELL_PARAMETERS angstrom
-2.9593 -1.8508 2.0478
-2.1720 -0.7351 -3.8031
2.1114 -3.8802 -0.4559
ATOMIC_POSITIONS crystal
Ge 0.0000 0.0000 0.5000
Ge 0.0000 0.5000 0.0000
Tb 0.5000 0.5000 0.5000
Al 0.5000 0.0000 0.0000
```

[10]
Here is a relaxed structure of TbAlGe2 from Alexandria via LeMat-Bulk. Energies are from PBE. Values from VASP.

Computed properties:
- space-group type = No. 59
- VASP energy (eV per atom) = -4.769
- total magnetization (μB/f.u.) = 0.0
- energy of formation (eV per atom) = -0.3672
- theoretical density (g/cm3) = 6.22

Cell and atoms, written as Quantum ESPRESSO input:
```
&SYSTEM
  ibrav = 0, nat = 8, ntyp = 3
/
ATOMIC_SPECIES
Tb 158.93 Tb.upf
Al 26.98 Al.upf
Ge 72.64 Ge.upf
CELL_PARAMETERS angstrom
3.7906 0.0000 0.0000
0.0000 4.6340 0.0000
0.0000 0.0000 10.0641
ATOMIC_POSITIONS crystal
Tb 0.5000 0.0000 0.1361
Tb 0.0000 0.5000 0.8639
Al 0.5000 0.5000 0.3448
Al 0.0000 0.0000 0.6552
Ge 0.0000 0.5000 0.1586
Ge 0.5000 0.0000 0.4616
Ge 0.0000 0.5000 0.5384
Ge 0.5000 0.0000 0.8414
```

[11]
Here is a relaxed structure of TbAlGe2 from Alexandria via LeMat-Bulk. Energies are from PBE. Values from VASP.

Computed properties:
- space-group type = No. 166
- VASP energy (eV per atom) = -4.743
- total magnetization (μB/f.u.) = 0.0
- energy of formation (eV per atom) = -0.3412
- theoretical density (g/cm3) = 6.67

Cell and atoms, written as Quantum ESPRESSO input:
```
&SYSTEM
  ibrav = 0, nat = 4, ntyp = 3
/
ATOMIC_SPECIES
Ge 72.64 Ge.upf
Tb 158.93 Tb.upf
Al 26.98 Al.upf
CELL_PARAMETERS angstrom
-3.9079 1.2549 1.6283
-2.1445 -2.6053 2.8481
0.2425 1.7583 5.2141
ATOMIC_POSITIONS crystal
Ge 0.7797 0.7797 0.6608
Ge 0.2203 0.2203 0.3392
Tb 0.0000 0.0000 0.0000
Al 0.5000 0.5000 0.5000
```

[12]
Here is a relaxed structure of Tb2AlGe from Alexandria via LeMat-Bulk. Energies are from PBE. Values from VASP.

Computed properties:
- space-group type = No. 166
- VASP energy (eV per atom) = -4.344
- total magnetization (μB/f.u.) = 0.0
- energy of formation (eV per atom) = 0.0612
- theoretical density (g/cm3) = 5.22

Cell and atoms, written as Quantum ESPRESSO input:
```
&SYSTEM
  ibrav = 0, nat = 4, ntyp = 3
/
ATOMIC_SPECIES
Ge 72.64 Ge.upf
Tb 158.93 Tb.upf
Al 26.98 Al.upf
CELL_PARAMETERS angstrom
4.0208 0.0000 0.0000
2.0104 3.4821 0.0000
2.0104 1.1607 9.4788
ATOMIC_POSITIONS crystal
Ge 0.5000 0.5000 0.5000
Tb 0.1103 0.1103 0.6691
Tb 0.8897 0.8897 0.3309
Al 0.0000 0.0000 0.0000
```